TbHoErAg (PBE, optimized geometry); energy relative to the lowest polymorph listed for this composition = 0.77 eV per formula unit; DFT formation energy = 0.057 eV/atom
1.0
5.356 0.000 0.000
2.678 4.638 0.000
2.678 1.546 4.373
Tb Ho Ag Er
1 1 1 1
direct
0.000 0.000 0.000
0.500 0.500 0.500
0.750 0.750 0.750
0.250 0.250 0.250